[1]
DFT (GGA-PBE) results for a geometry-optimized TbTcP2Ru structure.

Unit cell a=4.1203 b=4.1203 c=9.5173 alpha=90.00 beta=90.00 gamma=90.00
Closest atoms and distances in Å follow each position.
Space group I-4m2 (No. 119)
Unique sites:
1 Tb 0.0000 0.0000 0.0000 x2  4 Tc 3.15, 4 Ru 3.15, 10 P 3.16-3.52
2 Tc 0.0000 0.5000 0.7500 x2  4 P 2.36
3 P 0.0000 0.0000 0.3703 x4  2 Tc 2.36, 2 Ru 2.36, 1 P 2.47
4 Ru 0.0000 0.5000 0.2500 x2  4 P 2.36

Formation energy from the elements   -0.99 eV per atom
Size of the total moment   0.0 Bohr magnetons per cell


[2]
DFT (GGA-PBE) results for a geometry-optimized TbVP2Ru structure.

Unit cell a=4.0489 b=4.0489 c=9.7981 alpha=90.00 beta=90.00 gamma=90.00
Closest atoms and distances in Å follow each position.
Space group I-4m2 (No. 119)
Unique sites:
1 Tb 0.0000 0.0000 0.0000 x2  8 P 3.11, 4 Ru 3.18, 4 V 3.18
2 V 0.0000 0.5000 0.7500 x2  4 P 2.37
3 P 0.0000 0.0000 0.3766 x4  2 Ru 2.37, 2 V 2.37, 1 P 2.42
4 Ru 0.0000 0.5000 0.2500 x2  4 P 2.37

Formation energy from the elements   -0.95 eV per atom
Size of the total moment   4.3 Bohr magnetons per cell


> Number 2 is which compound?

TbVP2Ru


Repeat the first record exactly.
DFT (GGA-PBE) results for a geometry-optimized TbTcP2Ru structure.

Unit cell a=4.1203 b=4.1203 c=9.5173 alpha=90.00 beta=90.00 gamma=90.00
Closest atoms and distances in Å follow each position.
Space group I-4m2 (No. 119)
Unique sites:
1 Tb 0.0000 0.0000 0.0000 x2  4 Tc 3.15, 4 Ru 3.15, 10 P 3.16-3.52
2 Tc 0.0000 0.5000 0.7500 x2  4 P 2.36
3 P 0.0000 0.0000 0.3703 x4  2 Tc 2.36, 2 Ru 2.36, 1 P 2.47
4 Ru 0.0000 0.5000 0.2500 x2  4 P 2.36

Formation energy from the elements   -0.99 eV per atom
Size of the total moment   0.0 Bohr magnetons per cell


Please write out number 1 again, unchanged.
DFT (GGA-PBE) results for a geometry-optimized TbTcP2Ru structure.

Unit cell a=4.1203 b=4.1203 c=9.5173 alpha=90.00 beta=90.00 gamma=90.00
Closest atoms and distances in Å follow each position.
Space group I-4m2 (No. 119)
Unique sites:
1 Tb 0.0000 0.0000 0.0000 x2  4 Tc 3.15, 4 Ru 3.15, 10 P 3.16-3.52
2 Tc 0.0000 0.5000 0.7500 x2  4 P 2.36
3 P 0.0000 0.0000 0.3703 x4  2 Tc 2.36, 2 Ru 2.36, 1 P 2.47
4 Ru 0.0000 0.5000 0.2500 x2  4 P 2.36

Formation energy from the elements   -0.99 eV per atom
Size of the total moment   0.0 Bohr magnetons per cell